No. 1
Computed, not measured: an optimized crystal structure of Ba2HgPb at the PBE level of DFT.

Properties
Its excess energy over the best structure of this formula in the dataset is 0.86 eV/f.u. The formation energy is -0.38 eV/atom.

The structure in CIF format:
```
data_Ba2HgPb
_cell_length_a 5.5343
_cell_length_b 5.5343
_cell_length_c 8.2087
_cell_angle_alpha 102.40
_cell_angle_beta 102.40
_cell_angle_gamma 46.33
_space_group_name_H-M_alt 'P 1'
_space_group_IT_number 1
loop_
_space_group_symop_operation_xyz
'x,y,z'
loop_
_atom_site_label
_atom_site_type_symbol
_atom_site_fract_x
_atom_site_fract_y
_atom_site_fract_z
Ba1 Ba 0.2481 0.2481 0.2439
Ba2 Ba 0.7519 0.7519 0.7561
Hg1 Hg 0.0000 0.0000 0.5000
Pb1 Pb 0.5000 0.5000 0.0000
```


No. 2
Computed, not measured: an optimized crystal structure of BaHg2Pb8 at the PBE level of DFT.

Properties
The formation energy is 0.10 eV/atom.

The structure in CIF format:
```
data_BaHg2Pb8
_cell_length_a 6.6580
_cell_length_b 6.6580
_cell_length_c 9.6418
_cell_angle_alpha 90.00
_cell_angle_beta 90.00
_cell_angle_gamma 90.00
_space_group_name_H-M_alt 'P 1'
_space_group_IT_number 1
loop_
_space_group_symop_operation_xyz
'x,y,z'
loop_
_atom_site_label
_atom_site_type_symbol
_atom_site_fract_x
_atom_site_fract_y
_atom_site_fract_z
Ba1 Ba 0.0000 0.0000 0.0000
Hg1 Hg 0.0000 0.5000 0.5000
Hg2 Hg 0.5000 0.0000 0.5000
Pb1 Pb 0.2543 0.2543 0.2879
Pb2 Pb 0.2543 0.2543 0.7121
Pb3 Pb 0.2543 0.7457 0.2879
Pb4 Pb 0.2543 0.7457 0.7121
Pb5 Pb 0.7457 0.2543 0.2879
Pb6 Pb 0.7457 0.2543 0.7121
Pb7 Pb 0.7457 0.7457 0.2879
Pb8 Pb 0.7457 0.7457 0.7121
```